The following is a GGA-PBE calculation of SrAgMoH2 after structural relaxation, from the Alexandria database.

Calculated values
VASP energy = -3.36 eV/atom

```
SrAgMoH2
1.0
-0.893 -3.837 -1.635
6.734 -1.984 0.977
-0.986 -1.430 3.895
Sr Mo Ag H
1 1 1 2
direct
0.000 0.000 0.000
0.000 0.500 0.000
0.500 0.500 0.500
0.000 0.000 0.500
0.500 0.000 0.000
```

---

The following is a GGA-PBE calculation of CsRbGa2 after structural relaxation, from the Alexandria database.

Calculated values
VASP energy = -2.02 eV/atom
distance to the lowest polymorph of the same formula = 0 meV/atom
DFT formation energy = -0.05 eV per atom

```
CsRbGa2
1.0
4.553 -0.005 0.000
-2.275 10.655 0.000
0.000 0.000 7.895
Cs Rb Ga
2 2 4
direct
0.385 0.771 0.750
0.615 0.229 0.250
0.872 0.745 0.250
0.128 0.255 0.750
0.250 0.500 0.416
0.750 0.500 0.584
0.250 0.500 0.084
0.750 0.500 0.916
```

---

The following is a GGA-PBE calculation of MgAl2Os after structural relaxation, from the Alexandria database.

Calculated values
VASP energy = -5.23 eV/atom
distance to the lowest polymorph of the same formula = 81 meV/atom
DFT formation energy = -0.16 eV per atom

```
MgAl2Os
1.0
4.902 0.010 0.000
1.826 4.549 0.000
-3.364 -2.279 2.741
Al Mg Os
2 1 1
direct
0.000 0.000 0.000
0.250 0.750 0.500
0.500 0.500 0.000
0.750 0.250 0.500
```

---

The following is a GGA-PBE calculation of Be2SiTe after structural relaxation, from the Alexandria database.

Calculated values
VASP energy = -3.51 eV/atom
distance to the lowest polymorph of the same formula = 242 meV/atom

```
Be2SiTe
1.0
-3.091 -0.740 -0.558
-0.463 -0.448 3.162
-1.708 6.613 0.687
Be Si Te
2 1 1
direct
0.000 0.000 0.051
0.500 0.500 0.217
0.000 0.000 0.379
0.500 0.500 0.854
```

---

The following is a GGA-PBE calculation of Nd2SmYEr2 after structural relaxation, from the Alexandria database.

Calculated values
VASP energy = -4.91 eV/atom
DFT formation energy = 0.06 eV per atom

```
Nd2SmYEr2
1.0
-1.801 5.373 -0.182
-3.813 -0.974 9.005
6.127 2.149 2.827
Nd Sm Y Er
4 2 2 4
direct
0.500 0.833 0.249
0.500 0.167 0.751
0.000 0.667 0.749
0.000 0.333 0.251
0.500 0.500 0.000
0.000 0.000 0.500
0.000 0.000 0.000
0.500 0.500 0.500
0.500 0.167 0.250
0.000 0.667 0.250
0.500 0.833 0.750
0.000 0.333 0.750
```

---

The following is a GGA-PBE calculation of Ti4N2O after structural relaxation, from the Alexandria database.

Calculated values
VASP energy = -9.26 eV/atom
distance to the lowest polymorph of the same formula = 0 meV/atom

```
Ti4N2O
1.0
-0.976 5.437 2.212
-1.129 1.219 -5.713
-3.241 -4.145 2.778
Ti N O
8 4 2
direct
0.892 0.154 0.261
0.358 0.596 0.239
0.892 0.631 0.739
0.825 0.116 0.710
0.406 0.116 0.290
0.358 0.119 0.761
0.425 0.634 0.790
0.844 0.634 0.210
0.625 0.375 0.750
0.625 0.875 0.250
0.625 0.375 0.250
0.125 0.375 0.750
0.169 0.669 0.500
0.081 0.081 0.000
```

---

The following is a GGA-PBE calculation of RbBaCd2 after structural relaxation, from the Alexandria database.

Calculated values
VASP energy = -1.10 eV/atom
distance to the lowest polymorph of the same formula = 207 meV/atom
DFT formation energy = 0.08 eV per atom

```
RbBaCd2
1.0
-6.570 5.725 -4.125
3.004 -2.831 -8.713
-4.414 -1.530 -6.359
Ba Rb Cd
2 2 4
direct
0.000 0.000 0.000
0.750 0.250 0.500
0.500 0.500 0.000
0.250 0.750 0.500
0.631 0.125 0.250
0.119 0.625 0.250
0.375 0.369 0.750
0.875 0.881 0.750
```

---

The following is a GGA-PBE calculation of Dy3TiTl3Te8 after structural relaxation, from the Alexandria database.

Calculated values
VASP energy = -4.54 eV/atom

```
Dy3TiTl3Te8
1.0
-1.322 -4.833 7.048
5.323 -2.783 -6.216
3.251 7.217 5.559
Dy Ti Tl Te
3 1 3 8
direct
0.500 0.000 0.500
0.500 0.500 0.500
0.000 0.500 0.500
0.000 0.000 0.500
0.000 0.000 0.000
0.000 0.500 0.000
0.500 0.500 0.000
0.261 0.523 0.284
0.739 0.477 0.716
0.778 0.556 0.298
0.222 0.444 0.702
0.778 0.020 0.298
0.222 0.980 0.702
0.242 0.020 0.298
0.758 0.980 0.702
```